No. 1
Here is a geometry-optimized Ho12Er5Tm2 structure from the Alexandria database. Energies are from GGA-PBE.

V in A^3/atom: 31.3
M_tot in μB/f.u.: 0.0
Offset from the most stable computed form in eV per atom: 0.036

a b c (Å): 15.5802 9.0799 8.4192
angles (deg): 90.00 91.03 90.00
Last column: nearest neighbours and their distance in Å.
Space group C2/m (No. 12)
Asymmetric unit:
Ho1 0.0579 0.0000 0.3357 x4  7 Ho 3.33-3.43, 2 Er 3.34-3.53, 2 Tm 3.36
Ho2 0.0911 0.5000 0.8854 x4  3 Er 3.38-3.52, 5 Ho 3.40-3.56, 2 Tm 3.41
Ho3 0.1266 0.1937 0.6642 x8  4 Er 3.33-3.67, 5 Ho 3.37-3.52, 1 Tm 3.48
Ho4 0.1545 0.3177 0.2428 x8  4 Ho 3.31-3.56, 1 Tm 3.38, 5 Er 3.44-3.70
Er1 0.0000 0.5000 0.5000 x2  10 Ho 3.52-3.67, 2 Er 3.66
Er2 0.1983 0.0000 0.0114 x4  8 Ho 3.38-3.57, 2 Tm 3.48, 1 Er 3.64
Er3 0.2324 0.5000 0.5735 x4  10 Ho 3.33-3.70, 2 Er 3.64-3.66
Tm1 0.0000 0.1770 0.0000 x4  1 Tm 3.21, 8 Ho 3.36-3.48, 2 Er 3.48

=====

No. 2
Here is a geometry-optimized AgPPd5 structure from the Alexandria database. Energies are from GGA-PBE.

V in A^3/atom: 15.7
M_tot in μB/f.u.: 0.0
Total DFT energy (no corrections) in eV/cell: -36.3

a b c (Å): 3.9687 3.9687 6.9745
angles (deg): 90.00 90.00 90.00
Last column: nearest neighbours and their distance in Å.
Space group P4/mmm (No. 123)
Asymmetric unit:
Ag1 0.0000 0.0000 0.0000 x1  12 Pd 2.81-2.88
P1 0.5000 0.5000 0.5000 x1  8 Pd 2.43
Pd1 0.0000 0.5000 0.2998 x4  2 P 2.43
Pd2 0.5000 0.5000 0.0000 x1  4 Ag 2.81, 8 Pd 2.88

=====

No. 3
Here is a geometry-optimized Sr2SeCl structure from the Alexandria database. Energies are from GGA-PBE.

V in A^3/atom: 32.6
M_tot in μB/f.u.: 0.7
Offset from the most stable computed form in eV per atom: 0.198
ΔE_f (raw) in meV/atom: -1639

a b c (Å): 4.1279 4.2447 7.4514
angles (deg): 90.00 90.74 90.00
Last column: nearest neighbours and their distance in Å.
Space group P2/m (No. 10)
Asymmetric unit:
Sr1 0.1593 0.0000 0.2368 x2  2 Cl 2.97, 2 Se 3.11
Se1 0.5000 0.5000 0.0000 x1  4 Sr 3.11
Cl1 0.0000 0.5000 0.5000 x1  4 Sr 2.97

=====

No. 4
Here is a geometry-optimized Pm2AlCdAu4 structure from the Alexandria database. Energies are from GGA-PBE.

V in A^3/atom: 21.7
M_tot in μB/f.u.: 0.0
Total DFT energy (no corrections) in eV/cell: -97.8

a b c (Å): 5.0298 5.0298 23.7372
angles (deg): 90.00 90.00 120.00
Last column: nearest neighbours and their distance in Å.
Space group R-3m (No. 166, hexagonal axes)
Asymmetric unit:
Pm1 0.0000 0.0000 0.2473 x6  8 Au 2.98-3.17
Al1 0.0000 0.0000 0.0000 x3  2 Au 2.70
Cd1 0.0000 0.0000 0.5000 x3  8 Au 3.01-3.17
Au1 0.0000 0.0000 0.1136 x6  1 Al 2.70, 3 Pm 2.98
Au2 0.0000 0.0000 0.3730 x6  4 Pm 2.98-3.11, 1 Cd 3.01, 3 Al 3.05

=====

No. 5
Here is a geometry-optimized KTcBr2 structure from the Alexandria database. Energies are from GGA-PBE.

V in A^3/atom: 25.7
M_tot in μB/f.u.: 4.0
Offset from the most stable computed form in eV per atom: 0.144
ΔE_f (raw) in meV/atom: -48

a b c (Å): 3.6373 3.6373 7.7581
angles (deg): 90.00 90.00 90.00
Last column: nearest neighbours and their distance in Å.
Space group P4/mmm (No. 123)
Asymmetric unit:
K1 0.0000 0.0000 0.0000 x1  8 Br 3.34, 4 K 3.64
Tc1 0.0000 0.0000 0.5000 x1  8 Br 3.11
Br1 0.5000 0.5000 0.2749 x2  4 Tc 3.11, 4 K 3.34

=====

No. 6
Here is a geometry-optimized PmEr3Cl structure from the Alexandria database. Energies are from GGA-PBE.

V in A^3/atom: 29.1
M_tot in μB/f.u.: 0.0
ΔE_f (raw) in meV/atom: -425

a b c (Å): 5.2594 5.2594 5.2594
angles (deg): 90.00 90.00 90.00
Last column: nearest neighbours and their distance in Å.
Space group Pm-3m (No. 221)
Asymmetric unit:
Pm1 0.0000 0.0000 0.0000 x1  12 Er 3.72
Er1 0.0000 0.5000 0.5000 x3  2 Cl 2.63
Cl1 0.5000 0.5000 0.5000 x1  6 Er 2.63

=====

No. 7
Here is a geometry-optimized LiV structure from the Alexandria database. Energies are from GGA-PBE.

V in A^3/atom: 14.4
M_tot in μB/f.u.: 0.0
Offset from the most stable computed form in eV per atom: 0.116

a b c (Å): 4.9438 12.7590 2.7470
angles (deg): 90.00 90.00 90.00
Last column: nearest neighbours and their distance in Å.
Space group Cmmm (No. 65)
Asymmetric unit:
Li1 0.0000 0.0000 0.0000 x2  6 Li 2.53-2.75, 4 V 2.83
Li2 0.0000 0.1663 0.5000 x4  4 Li 2.53-2.75, 2 V 2.72
V1 0.0000 0.3505 0.0000 x4  2 V 2.35
V2 0.0000 0.5000 0.5000 x2  4 V 2.35

=====

No. 8
Here is a geometry-optimized Y6Tl3Se2S structure from the Alexandria database. Energies are from GGA-PBE.

V in A^3/atom: 26.4
M_tot in μB/f.u.: 0.0
ΔE_f (raw) in meV/atom: -1113

a b c (Å): 6.8004 11.7638 8.2478
angles (deg): 90.00 105.84 90.00
Last column: nearest neighbours and their distance in Å.
Space group C2/m (No. 12)
Asymmetric unit:
Y1 0.2315 0.1626 0.2109 x8  1 S 2.77, 2 Se 2.84-2.85
Y2 0.2475 0.5000 0.2164 x4  1 S 2.79, 2 Se 2.86
Tl1 0.0000 0.1741 0.5000 x4  6 Y 3.20-3.23
Tl2 0.0000 0.5000 0.5000 x2  6 Y 3.21-3.23
Se1 0.0000 0.3349 0.0000 x4  6 Y 2.84-2.86
S1 0.0000 0.0000 0.0000 x2  6 Y 2.77-2.79

=====

No. 9
Here is a geometry-optimized BaHfAl2Co structure from the Alexandria database. Energies are from GGA-PBE.

V in A^3/atom: 27.5
M_tot in μB/f.u.: 1.0
Total DFT energy (no corrections) in eV/cell: -24.1

a b c (Å): 5.4299 5.4299 4.6714
angles (deg): 90.00 90.00 90.00
Last column: nearest neighbours and their distance in Å.
Space group P4/mmm (No. 123)
Asymmetric unit:
Ba1 0.0000 0.0000 0.0000 x1  8 Al 3.58, 4 Co 3.84
Hf1 0.5000 0.5000 0.5000 x1  2 Co 2.34
Al1 0.0000 0.5000 0.5000 x2  2 Hf 2.71
Co1 0.5000 0.5000 0.0000 x1  2 Hf 2.34

=====

No. 10
Here is a geometry-optimized BaHN2 structure from the Alexandria database. Energies are from GGA-PBE.

V in A^3/atom: 13.1
M_tot in μB/f.u.: 0.0
Offset from the most stable computed form in eV per atom: 0.269

a b c (Å): 4.1019 4.1019 12.4411
angles (deg): 90.00 90.00 90.00
Last column: nearest neighbours and their distance in Å.
Space group I4_1/amd (No. 141, origin choice 2)
Asymmetric unit:
Ba1 0.0000 0.2500 0.3750 x4  8 N 2.77, 4 H 2.90
H1 0.0000 0.2500 0.8750 x4  4 N 1.86
N1 0.0000 0.0000 0.0000 x8  2 H 1.86, 2 N 2.05

=====

No. 11
Here is a geometry-optimized Pt2W2C structure from the Alexandria database. Energies are from GGA-PBE.

V in A^3/atom: 14.9
M_tot in μB/f.u.: 0.0
Offset from the most stable computed form in eV per atom: 0.000

a b c (Å): 5.5777 5.5777 4.7775
angles (deg): 90.00 90.00 90.00
Last column: nearest neighbours and their distance in Å.
Space group P4/mbm (No. 127)
Asymmetric unit:
Pt1 0.1731 0.3269 0.0000 x4  2 C 2.06
W1 0.1610 0.6610 0.5000 x4  1 W 2.54, 2 Pt 2.72
C1 0.0000 0.0000 0.0000 x2  4 Pt 2.06

=====

No. 12
Here is a geometry-optimized HoSi2Rh5 structure from the Alexandria database. Energies are from GGA-PBE.

V in A^3/atom: 15.8
M_tot in μB/f.u.: 0.0
ΔE_f (raw) in meV/atom: -789

a b c (Å): 3.8420 6.6191 9.9621
angles (deg): 90.00 90.00 90.00
Last column: nearest neighbours and their distance in Å.
Space group Immm (No. 71)
Asymmetric unit:
Ho1 0.0000 0.0000 0.0000 x2  10 Rh 3.09-3.31, 4 Si 3.28
Si1 0.0000 0.5000 0.2332 x4  7 Rh 2.30-2.52
Rh1 0.0000 0.2058 0.3559 x8  3 Si 2.30-2.52
Rh2 0.0000 0.5000 0.0000 x2  2 Si 2.32